A relaxed structure of Na3VRe2O9, computed with PBE+U.

a b c (Å): 5.479 5.479 6.690
angles (deg): 90.00 90.00 120.00
Positions (direct):
Na1 0.000 0.000 0.000
Na2 0.333 0.667 0.658
Na3 0.667 0.333 0.342
V1 0.000 0.000 0.500
Re1 0.333 0.667 0.172
Re2 0.667 0.333 0.828
O1 0.000 0.500 0.000
O2 0.168 0.337 0.331
O3 0.168 0.832 0.331
O4 0.337 0.168 0.669
O5 0.500 0.000 0.000
O6 0.500 0.500 0.000
O7 0.663 0.832 0.331
O8 0.832 0.168 0.669
O9 0.832 0.663 0.669

Computed properties:
As for the volume: 11.59 Å³ per atom. The space group is P-3m1, No. 164. As for the electronic total energy: -107.6 eV per cell.